Entry 1:
K3Cd2In: optimized geometry, PBE-GGA.

Cell and atoms, written as POSCAR:
```
K3Cd2In
1.0
-4.215 -3.344 4.494
6.081 -5.164 1.861
1.009 6.041 5.442
In Cd K
2 4 6
Direct
0.750 0.352 0.648 In
0.250 0.648 0.352 In
0.500 0.341 0.341 Cd
0.000 0.659 0.659 Cd
0.500 0.659 0.659 Cd
0.000 0.341 0.341 Cd
0.750 0.065 0.935 K
0.250 0.935 0.065 K
0.250 0.074 0.574 K
0.750 0.574 0.074 K
0.750 0.926 0.426 K
0.250 0.426 0.926 K
```

Calculated values
crystal system = orthorhombic
energy = -1.345 eV/atom
energy of formation = -0.0346 eV/atom



Entry 2:
KCdIn2: optimized geometry, PBE-GGA.

Cell and atoms, written as POSCAR:
```
KCdIn2
1.0
4.745 0.000 0.000
0.000 4.930 0.000
0.000 0.000 5.096
In Cd K
2 1 1
Direct
0.500 0.500 0.000 In
0.000 0.000 0.000 In
0.000 0.500 0.500 Cd
0.500 0.000 0.500 K
```

Calculated values
crystal system = orthorhombic
energy = -1.835 eV/atom
energy of formation = 0.0377 eV/atom



Entry 3:
KCd4In: optimized geometry, PBE-GGA.

Cell and atoms, written as POSCAR:
```
KCd4In
1.0
-2.885 -1.879 3.180
-0.316 -6.977 -4.408
6.840 -3.081 4.386
K Cd In
2 8 2
Direct
0.000 0.369 0.250 K
0.000 0.631 0.750 K
0.500 0.324 0.948 Cd
0.000 0.000 0.000 Cd
0.500 0.676 0.052 Cd
0.000 0.000 0.500 Cd
0.500 0.946 0.750 Cd
0.500 0.054 0.250 Cd
0.500 0.676 0.448 Cd
0.500 0.324 0.552 Cd
0.000 0.226 0.750 In
0.000 0.774 0.250 In
```

Calculated values
crystal system = orthorhombic
energy = -1.278 eV/atom
energy of formation = -0.0286 eV/atom
E above lowest polymorph = 0.0004 eV/atom



Entry 4:
KCd3In2: optimized geometry, PBE-GGA.

Cell and atoms, written as POSCAR:
```
KCd3In2
1.0
-1.908 -4.674 4.002
6.101 -3.874 -1.615
2.615 3.859 5.753
Cd K In
6 2 4
Direct
0.750 0.143 0.435 Cd
0.250 0.958 0.958 Cd
0.250 0.565 0.857 Cd
0.750 0.042 0.042 Cd
0.250 0.857 0.565 Cd
0.750 0.435 0.143 Cd
0.750 0.668 0.668 K
0.250 0.332 0.332 K
0.000 0.226 0.774 In
0.500 0.226 0.774 In
0.000 0.774 0.226 In
0.500 0.774 0.226 In
```

Calculated values
crystal system = orthorhombic
energy = -1.612 eV/atom
energy of formation = -0.0586 eV/atom
E above lowest polymorph = 0.0000 eV/atom



Entry 5:
K2Cd4In3: optimized geometry, PBE-GGA.

Cell and atoms, written as POSCAR:
```
K2Cd4In3
1.0
-1.906 6.027 -1.445
-4.673 -3.212 -7.230
-6.294 -4.070 5.876
Cd K In
8 4 6
Direct
0.322 0.483 0.644 Cd
0.178 0.983 0.356 Cd
0.678 0.517 0.356 Cd
0.822 0.017 0.644 Cd
0.185 0.750 0.870 Cd
0.315 0.250 0.130 Cd
0.685 0.750 0.870 Cd
0.815 0.250 0.130 Cd
0.897 0.398 0.794 K
0.603 0.898 0.206 K
0.103 0.602 0.206 K
0.397 0.102 0.794 K
0.482 0.250 0.464 In
0.500 0.500 0.000 In
0.000 0.000 0.000 In
0.518 0.750 0.536 In
0.982 0.250 0.464 In
0.018 0.750 0.536 In
```

Calculated values
crystal system = orthorhombic
energy = -1.642 eV/atom
energy of formation = -0.0788 eV/atom



Entry 6:
K2Cd7In: optimized geometry, PBE-GGA.

Cell and atoms, written as POSCAR:
```
K2Cd7In
1.0
4.772 0.000 0.000
0.000 4.772 0.000
0.000 0.000 13.018
Cd In K
7 1 2
Direct
0.000 0.000 0.000 Cd
0.500 0.000 0.142 Cd
0.500 0.000 0.362 Cd
0.000 0.000 0.500 Cd
0.000 0.500 0.638 Cd
0.500 0.500 0.500 Cd
0.000 0.500 0.858 Cd
0.500 0.500 0.000 In
0.500 0.000 0.750 K
0.000 0.500 0.250 K
```

Calculated values
crystal system = tetragonal
energy = -1.209 eV/atom
energy of formation = -0.0749 eV/atom



Entry 7:
KCdIn6: optimized geometry, PBE-GGA.

Cell and atoms, written as POSCAR:
```
KCdIn6
1.0
5.028 0.000 1.539
2.278 4.482 1.539
-0.428 -0.263 10.382
Cd In K
1 6 1
Direct
0.000 0.000 0.000 Cd
0.367 0.367 0.900 In
0.746 0.746 0.762 In
0.101 0.101 0.698 In
0.254 0.254 0.238 In
0.899 0.899 0.302 In
0.633 0.633 0.100 In
0.500 0.500 0.500 K
```

Calculated values
crystal system = trigonal
energy = -2.330 eV/atom
energy of formation = -0.0243 eV/atom
E above lowest polymorph = 0.0441 eV/atom



Entry 8:
K4CdIn4: optimized geometry, PBE-GGA.

Cell and atoms, written as POSCAR:
```
K4CdIn4
1.0
5.636 0.000 0.000
-2.818 11.680 2.818
0.000 0.000 5.636
In K Cd
4 4 1
Direct
0.423 0.433 0.990 In
0.010 0.433 0.577 In
0.577 0.567 0.423 In
0.990 0.567 0.010 In
0.160 0.771 0.390 K
0.610 0.771 0.840 K
0.390 0.229 0.610 K
0.840 0.229 0.160 K
0.000 0.000 0.000 Cd
```

Calculated values
crystal system = tetragonal
energy = -1.798 eV/atom
energy of formation = 0.0084 eV/atom



Entry 9:
K3Cd5In2: optimized geometry, PBE-GGA.

Cell and atoms, written as POSCAR:
```
K3Cd5In2
1.0
-3.085 -0.302 -6.572
5.051 -6.985 -6.068
-5.281 -9.053 -1.122
Cd K In
10 6 4
Direct
0.015 0.235 0.235 Cd
0.985 0.765 0.765 Cd
0.369 0.722 0.540 Cd
0.485 0.765 0.765 Cd
0.131 0.460 0.278 Cd
0.515 0.235 0.235 Cd
0.750 0.500 0.500 Cd
0.631 0.278 0.460 Cd
0.250 0.500 0.500 Cd
0.869 0.540 0.722 Cd
0.750 0.000 0.000 K
0.375 0.398 0.852 K
0.250 0.000 0.000 K
0.625 0.602 0.148 K
0.875 0.852 0.398 K
0.125 0.148 0.602 K
0.152 0.685 0.011 In
0.348 0.989 0.315 In
0.652 0.011 0.685 In
0.848 0.315 0.989 In
```

Calculated values
crystal system = orthorhombic
energy = -1.361 eV/atom
energy of formation = -0.0261 eV/atom



Entry 10:
KCd2In9: optimized geometry, PBE-GGA.

Cell and atoms, written as POSCAR:
```
KCd2In9
1.0
7.689 0.000 3.540
3.844 9.013 1.770
0.075 0.000 9.957
In K Cd
18 2 4
Direct
0.753 0.822 0.578 In
0.753 0.578 0.822 In
0.597 0.322 0.078 In
0.000 0.000 0.000 In
0.425 0.422 0.822 In
0.153 0.178 0.422 In
0.669 0.178 0.578 In
0.997 0.922 0.678 In
0.153 0.422 0.178 In
0.081 0.922 0.322 In
0.669 0.578 0.178 In
0.750 0.500 0.500 In
0.597 0.078 0.322 In
0.425 0.822 0.422 In
0.081 0.322 0.922 In
0.325 0.678 0.078 In
0.997 0.678 0.922 In
0.325 0.078 0.678 In
0.250 0.500 0.500 K
0.500 0.000 0.000 K
0.375 0.750 0.750 Cd
0.875 0.750 0.250 Cd
0.875 0.250 0.250 Cd
0.875 0.250 0.750 Cd
```

Calculated values
crystal system = tetragonal
energy = -2.331 eV/atom
energy of formation = -0.0331 eV/atom



Entry 11:
KCd2In: optimized geometry, PBE-GGA.

Cell and atoms, written as POSCAR:
```
KCd2In
1.0
-3.999 3.291 -0.847
-1.729 -6.281 0.016
-1.277 0.371 7.466
In Cd K
2 4 2
Direct
0.214 0.427 0.250 In
0.786 0.573 0.750 In
0.376 0.752 0.944 Cd
0.624 0.248 0.056 Cd
0.624 0.248 0.444 Cd
0.376 0.752 0.556 Cd
0.920 0.840 0.250 K
0.080 0.160 0.750 K
```

Calculated values
crystal system = orthorhombic
energy = -1.495 eV/atom
energy of formation = -0.0788 eV/atom



Entry 12:
KCdIn3: optimized geometry, PBE-GGA.

Cell and atoms, written as POSCAR:
```
KCdIn3
1.0
4.580 -0.020 1.578
-0.565 4.543 1.581
0.017 0.011 7.353
Cd In K
1 3 1
Direct
0.012 0.815 0.681 Cd
0.650 0.953 0.405 In
0.792 0.596 0.122 In
0.149 0.454 0.405 In
0.404 0.207 0.897 K
```

Calculated values
crystal system = monoclinic
energy = -2.155 eV/atom
energy of formation = -0.1099 eV/atom
E above lowest polymorph = 0.0000 eV/atom